(1)
VASP calculation (PBE) on LiMoAu after structural relaxation.

Summary:
Its relative energy among the computed polymorphs is 232.8 meV/atom. As for the space group: P-6m2 (187). The calculation puts the formation energy from the elements at 244.7 meV/atom. The calculation puts the size of the total moment at 0.00 μB/cell.

abc: 4.4751 4.4751 2.6539
angles: 90.00 90.00 120.00
Last column: nearest neighbours and their distance in Å.
Atoms (fractional coordinates):
Mo 0.3333 0.6667 0.6667  2 Mo 2.65, 6 Au 2.90-2.91, 6 Li 2.90-2.91
Li 0.6667 0.3333 0.1672  3 Au 2.58, 2 Li 2.65
Au 0.0000 0.0000 0.1661  3 Li 2.58, 2 Au 2.65

---

(2)
VASP calculation (PBE) on Al2NiAu2 after structural relaxation.

Summary:
Its relative energy among the computed polymorphs is 0.0 meV/atom. As for the space group: P4/mbm (127). The calculation puts the formation energy from the elements at -178.6 meV/atom. The calculation puts the size of the total moment at 0.00 μB/cell.

abc: 6.7494 6.7494 3.4592
angles: 90.00 90.00 90.00
Last column: nearest neighbours and their distance in Å.
Atoms (fractional coordinates):
Al 0.6500 0.1500 0.0000  6 Au 2.56-2.68, 2 Ni 2.57
Al 0.3500 0.8500 0.0000  6 Au 2.56-2.68, 2 Ni 2.57
Al 0.8500 0.6500 0.0000  6 Au 2.56-2.68, 2 Ni 2.57
Al 0.1500 0.3500 0.0000  6 Au 2.56-2.68, 2 Ni 2.57
Au 0.8471 0.3471 0.5000  6 Al 2.56-2.68
Au 0.6529 0.8471 0.5000  6 Al 2.56-2.68
Au 0.1529 0.6529 0.5000  6 Al 2.56-2.68
Au 0.3471 0.1529 0.5000  6 Al 2.56-2.68
Ni 0.5000 0.5000 0.0000  4 Al 2.57
Ni 0.0000 0.0000 0.0000  4 Al 2.57

---

(3)
VASP calculation (PBE) on AlSbCl2 after structural relaxation.

Summary:
Its relative energy among the computed polymorphs is 762.2 meV/atom. The raw formation energy is 0.116 eV/atom. As for the space group: Fm-3m (225). The calculation puts the size of the total moment at 0.00 μB/cell.

abc: 5.1042 5.1042 5.1042
angles: 60.00 60.00 60.00
Last column: nearest neighbours and their distance in Å.
Atoms (fractional coordinates):
Al 0.0000 0.0000 0.0000  8 Cl 3.13
Cl 0.7500 0.7500 0.7500  4 Sb 3.13, 4 Al 3.13
Cl 0.2500 0.2500 0.2500  4 Sb 3.13, 4 Al 3.13
Sb 0.5000 0.5000 0.5000  8 Cl 3.13